Record 1
This record from the Alexandria database describes a relaxed structure of TbDy8Mg2. The functional is GGA-PBE.

Computed properties:
- ΔE to the lowest computed polymorph: 0.000 eV/atom
- Formation energy from the elements: 0.019 eV per atom
- Theoretical density: 7.53 Mg/m³
- Symmetry: C2/m

Cell: 9.1410 9.1410 7.9247 Å, 106.56 106.56 31.70°
Atoms (fractional coordinates):
Tb (0.0000, 0.0000, 0.0000)
Dy (0.0922, 0.0922, 0.4566)
Dy (0.1826, 0.1826, 0.9236)
Dy (0.3600, 0.3600, 0.8051)
Dy (0.4518, 0.4518, 0.2711)
Dy (0.5482, 0.5482, 0.7289)
Dy (0.6400, 0.6400, 0.1949)
Dy (0.8174, 0.8174, 0.0764)
Dy (0.9078, 0.9078, 0.5434)
Mg (0.2724, 0.2724, 0.3648)
Mg (0.7276, 0.7276, 0.6352)

=====

Record 2
This record from the Alexandria database describes a relaxed structure of Be3WI. The functional is GGA-PBE.

Computed properties:
- ΔE to the lowest computed polymorph: 0.753 eV/atom
- Theoretical density: 6.30 Mg/m³
- Symmetry: Pm-3m

Cell: 4.4661 4.4661 4.4661 Å, 90.00 90.00 90.00°
Atoms (fractional coordinates):
Be (0.0000, 0.0000, 0.5000)
Be (0.0000, 0.5000, 0.0000)
Be (0.5000, 0.0000, 0.0000)
W (0.5000, 0.5000, 0.5000)
I (0.0000, 0.0000, 0.0000)

=====

Record 3
This record from the Alexandria database describes a relaxed structure of BaGa2NiAg. The functional is GGA-PBE.

Computed properties:
- Formation energy from the elements: -0.271 eV per atom
- Theoretical density: 6.44 Mg/m³
- Symmetry: P4/mmm

Cell: 4.6807 4.6807 5.2179 Å, 90.00 90.00 90.00°
Atoms (fractional coordinates):
Ba (0.0000, 0.0000, 0.0000)
Ga (0.0000, 0.5000, 0.5000)
Ga (0.5000, 0.0000, 0.5000)
Ni (0.5000, 0.5000, 0.5000)
Ag (0.5000, 0.5000, 0.0000)

=====

Record 4
This record from the Alexandria database describes a relaxed structure of Ca2MgCu4. The functional is GGA-PBE.

Computed properties:
- ΔE to the lowest computed polymorph: 0.137 eV/atom
- Formation energy from the elements: 0.061 eV per atom
- Theoretical density: 3.89 Mg/m³
- Symmetry: I4/mmm

Cell: 6.2046 6.2046 7.9437 Å, 90.00 90.00 90.00°
Atoms (fractional coordinates):
Ca (0.0000, 0.5000, 0.2500)
Ca (0.0000, 0.5000, 0.7500)
Ca (0.5000, 0.0000, 0.2500)
Ca (0.5000, 0.0000, 0.7500)
Mg (0.0000, 0.0000, 0.0000)
Mg (0.5000, 0.5000, 0.5000)
Cu (0.1943, 0.1943, 0.5000)
Cu (0.1943, 0.8057, 0.5000)
Cu (0.3057, 0.3057, 0.0000)
Cu (0.3057, 0.6943, 0.0000)
Cu (0.6943, 0.3057, 0.0000)
Cu (0.6943, 0.6943, 0.0000)
Cu (0.8057, 0.1943, 0.5000)
Cu (0.8057, 0.8057, 0.5000)

=====

Record 5
This record from the Alexandria database describes a relaxed structure of NiSn2C2. The functional is GGA-PBE.

Computed properties:
- ΔE to the lowest computed polymorph: 0.206 eV/atom
- Formation energy from the elements: 1.727 eV per atom
- Theoretical density: 7.32 Mg/m³
- Symmetry: P4/mbm

Cell: 6.7578 6.7578 3.1784 Å, 90.00 90.00 90.00°
Atoms (fractional coordinates):
Ni (0.0000, 0.0000, 0.0000)
Ni (0.5000, 0.5000, 0.0000)
Sn (0.1563, 0.3437, 0.0000)
Sn (0.3437, 0.8437, 0.0000)
Sn (0.6563, 0.1563, 0.0000)
Sn (0.8437, 0.6563, 0.0000)
C (0.1597, 0.6597, 0.5000)
C (0.3403, 0.1597, 0.5000)
C (0.6597, 0.8403, 0.5000)
C (0.8403, 0.3403, 0.5000)

=====

Record 6
This record from the Alexandria database describes a relaxed structure of BaLuAg2. The functional is GGA-PBE.

Computed properties:
- ΔE to the lowest computed polymorph: 0.069 eV/atom
- Formation energy from the elements: -0.172 eV per atom
- Theoretical density: 7.00 Mg/m³
- Symmetry: R-3m

Cell: 5.0476 5.0476 17.0371 Å, 90.00 90.00 120.00°
Atoms (fractional coordinates):
Ba (0.0000, 0.0000, 0.0000)
Ba (0.3333, 0.6667, 0.6667)
Ba (0.6667, 0.3333, 0.3333)
Lu (0.0000, 0.0000, 0.5000)
Lu (0.3333, 0.6667, 0.1667)
Lu (0.6667, 0.3333, 0.8333)
Ag (0.0000, 0.0000, 0.2003)
Ag (0.0000, 0.0000, 0.7997)
Ag (0.3333, 0.6667, 0.4663)
Ag (0.3333, 0.6667, 0.8670)
Ag (0.6667, 0.3333, 0.1330)
Ag (0.6667, 0.3333, 0.5337)

=====

Record 7
This record from the Alexandria database describes a relaxed structure of TbIBrO4. The functional is GGA-PBE.

Computed properties:
- E: -73.690 eV/cell
- Theoretical density: 5.69 Mg/m³
- Symmetry: C2/m

Cell: 6.5400 6.5400 6.5443 Å, 91.89 91.89 63.75°
Atoms (fractional coordinates):
Tb (0.2315, 0.2315, 0.1629)
Tb (0.7685, 0.7685, 0.8371)
I (0.1254, 0.1254, 0.6621)
I (0.8746, 0.8746, 0.3379)
Br (0.4445, 0.4445, 0.8373)
Br (0.5555, 0.5555, 0.1627)
O (0.0124, 0.6302, 0.1518)
O (0.0466, 0.0466, 0.2422)
O (0.2753, 0.2753, 0.5080)
O (0.3698, 0.9876, 0.8482)
O (0.6302, 0.0124, 0.1518)
O (0.7247, 0.7247, 0.4920)
O (0.9534, 0.9534, 0.7578)
O (0.9876, 0.3698, 0.8482)

=====

Record 8
This record from the Alexandria database describes a relaxed structure of Li2MnFe2. The functional is GGA-PBE.

Computed properties:
- ΔE to the lowest computed polymorph: 0.000 eV/atom
- Formation energy from the elements: 0.551 eV per atom
- Theoretical density: 4.41 Mg/m³
- Symmetry: P4/mbm

Cell: 5.5420 5.5420 4.4303 Å, 90.00 90.00 90.00°
Atoms (fractional coordinates):
Li (0.1753, 0.3247, 0.0000)
Li (0.3247, 0.8247, 0.0000)
Li (0.6753, 0.1753, 0.0000)
Li (0.8247, 0.6753, 0.0000)
Mn (0.0000, 0.0000, 0.5000)
Mn (0.5000, 0.5000, 0.5000)
Fe (0.1361, 0.6361, 0.5000)
Fe (0.3639, 0.1361, 0.5000)
Fe (0.6361, 0.8639, 0.5000)
Fe (0.8639, 0.3639, 0.5000)

=====

Record 9
This record from the Alexandria database describes a relaxed structure of NbInAu. The functional is GGA-PBE.

Computed properties:
- Formation energy from the elements: -0.064 eV per atom
- Theoretical density: 11.66 Mg/m³
- Symmetry: I4mm

Cell: 3.0530 3.0530 12.3662 Å, 90.00 90.00 90.00°
Atoms (fractional coordinates):
Nb (0.0000, 0.0000, 0.0000)
Nb (0.5000, 0.5000, 0.5000)
In (0.0000, 0.0000, 0.3271)
In (0.5000, 0.5000, 0.8271)
Au (0.0000, 0.0000, 0.6538)
Au (0.5000, 0.5000, 0.1538)

=====

Record 10
This record from the Alexandria database describes a relaxed structure of Cs4La3YS8. The functional is GGA-PBE.

Computed properties:
- E: -87.593 eV/cell
- Theoretical density: 4.17 Mg/m³
- Symmetry: R-3m

Cell: 9.4744 9.4744 9.4744 Å, 53.87 53.87 53.87°
Atoms (fractional coordinates):
Cs (0.0000, 0.0000, 0.0000)
Cs (0.0000, 0.5000, 0.5000)
Cs (0.5000, 0.0000, 0.5000)
Cs (0.5000, 0.5000, 0.0000)
La (0.0000, 0.0000, 0.5000)
La (0.0000, 0.5000, 0.0000)
La (0.5000, 0.0000, 0.0000)
Y (0.5000, 0.5000, 0.5000)
S (0.2293, 0.2293, 0.2293)
S (0.2386, 0.7229, 0.7229)
S (0.2771, 0.2771, 0.7614)
S (0.2771, 0.7614, 0.2771)
S (0.7229, 0.2386, 0.7229)
S (0.7229, 0.7229, 0.2386)
S (0.7614, 0.2771, 0.2771)
S (0.7707, 0.7707, 0.7707)

=====

Record 11
This record from the Alexandria database describes a relaxed structure of CaLa2AuO5. The functional is GGA-PBE.

Computed properties:
- E: -121.645 eV/cell
- Theoretical density: 6.90 Mg/m³
- Symmetry: P4/mbm

Cell: 6.8471 6.8471 6.1041 Å, 90.00 90.00 90.00°
Atoms (fractional coordinates):
Ca (0.0000, 0.0000, 0.0000)
Ca (0.5000, 0.5000, 0.0000)
La (0.1721, 0.3279, 0.5000)
La (0.3279, 0.8279, 0.5000)
La (0.6721, 0.1721, 0.5000)
La (0.8279, 0.6721, 0.5000)
Au (0.0000, 0.5000, 0.0000)
Au (0.5000, 0.0000, 0.0000)
O (0.0000, 0.0000, 0.5000)
O (0.1557, 0.6557, 0.2458)
O (0.1557, 0.6557, 0.7542)
O (0.3443, 0.1557, 0.2458)
O (0.3443, 0.1557, 0.7542)
O (0.5000, 0.5000, 0.5000)
O (0.6557, 0.8443, 0.2458)
O (0.6557, 0.8443, 0.7542)
O (0.8443, 0.3443, 0.2458)
O (0.8443, 0.3443, 0.7542)

=====

Record 12
This record from the Alexandria database describes a relaxed structure of AcPm3Tm2. The functional is GGA-PBE.

Computed properties:
- ΔE to the lowest computed polymorph: 0.329 eV/atom
- Formation energy from the elements: 0.375 eV per atom
- Theoretical density: 7.79 Mg/m³
- Symmetry: Immm

Cell: 3.5207 6.1578 19.6660 Å, 90.00 90.00 90.00°
Atoms (fractional coordinates):
Ac (0.0000, 0.0000, 0.0000)
Ac (0.5000, 0.5000, 0.5000)
Pm (0.0000, 0.0000, 0.1920)
Pm (0.0000, 0.0000, 0.8080)
Pm (0.0000, 0.5000, 0.0000)
Pm (0.5000, 0.0000, 0.5000)
Pm (0.5000, 0.5000, 0.3080)
Pm (0.5000, 0.5000, 0.6920)
Tm (0.0000, 0.0000, 0.3611)
Tm (0.0000, 0.0000, 0.6389)
Tm (0.5000, 0.5000, 0.1389)
Tm (0.5000, 0.5000, 0.8611)